Record 1
Density functional theory data (GGA-PBEsol) for a relaxed Ca7RhN6 crystal.

Cell lengths 8.953, 8.953, 8.953 Å; angles 138.89, 99.50, 94.68 degrees
Positions (direct):
Ca 0.047 0.224 0.271
Ca 0.089 0.499 0.848
Ca 0.151 0.999 0.410
Ca 0.250 0.250 0.000
Ca 0.349 0.759 0.848
Ca 0.411 0.259 0.410
Ca 0.453 0.724 0.177
Ca 0.547 0.276 0.823
Ca 0.589 0.741 0.590
Ca 0.651 0.241 0.152
Ca 0.750 0.750 0.000
Ca 0.849 0.001 0.590
Ca 0.911 0.501 0.152
Ca 0.953 0.776 0.729
Rh 0.250 0.750 0.500
Rh 0.750 0.250 0.500
N 0.075 0.888 0.579
N 0.149 0.892 0.042
N 0.191 0.612 0.187
N 0.309 0.496 0.421
N 0.351 0.392 0.743
N 0.425 0.004 0.813
N 0.575 0.996 0.187
N 0.649 0.608 0.257
N 0.691 0.504 0.579
N 0.809 0.388 0.813
N 0.851 0.108 0.958
N 0.925 0.112 0.421

Results
Formation energy without anion corrections = -0.742 eV/atom
V = 15.76 A^3/atom
Total energy = -6.044 eV/atom
ρ = 3.5 g/cm³
Total moment = 0.00 μB/f.u.

---

Record 2
Density functional theory data (GGA-PBEsol) for a relaxed LaPb4 crystal.

Cell lengths 4.560, 4.560, 15.512 Å; angles 90.00, 90.00, 90.00 degrees
Positions (direct):
La 0.000 0.000 0.000
La 0.500 0.500 0.500
Pb 0.000 0.000 0.405
Pb 0.000 0.000 0.595
Pb 0.000 0.500 0.250
Pb 0.000 0.500 0.750
Pb 0.500 0.000 0.250
Pb 0.500 0.000 0.750
Pb 0.500 0.500 0.095
Pb 0.500 0.500 0.905

Results
V = 32.25 A^3/atom
Total energy = -4.400 eV/atom
ΔE_f = -0.1314 eV/atom
ρ = 10.0 g/cm³
Total moment = 0.00 μB/f.u.

---

Record 3
Density functional theory data (GGA-PBEsol) for a relaxed TiBr2 crystal.

Cell lengths 3.419, 3.419, 6.833 Å; angles 90.00, 90.00, 120.00 degrees
Positions (direct):
Ti 0.000 0.000 0.000
Br 0.333 0.667 0.247
Br 0.667 0.333 0.753

Results
Formation energy without anion corrections = -1.075 eV/atom
V = 23.05 A^3/atom
Total energy = -5.096 eV/atom
ρ = 5.0 g/cm³
Total moment = 0.07 μB/f.u.

---

Record 4
Density functional theory data (GGA-PBEsol) for a relaxed LaScTl2 crystal.

Cell lengths 6.769, 8.947, 3.427 Å; angles 90.00, 90.00, 90.00 degrees
Positions (direct):
La 0.000 0.000 0.000
La 0.500 0.500 0.000
Sc 0.000 0.500 0.000
Sc 0.500 0.000 0.000
Tl 0.250 0.250 0.500
Tl 0.250 0.750 0.500
Tl 0.750 0.250 0.500
Tl 0.750 0.750 0.500

Results
V = 25.94 A^3/atom
Total energy = -4.635 eV/atom
ΔE_f = -0.3324 eV/atom
ρ = 9.5 g/cm³
Total moment = 0.01 μB/f.u.

---

Q: Which formula does entry 1 have?
A: Ca7RhN6

---

Please write out number 1 again, unchanged.
Density functional theory data (GGA-PBEsol) for a relaxed Ca7RhN6 crystal.

Cell lengths 8.953, 8.953, 8.953 Å; angles 138.89, 99.50, 94.68 degrees
Positions (direct):
Ca 0.047 0.224 0.271
Ca 0.089 0.499 0.848
Ca 0.151 0.999 0.410
Ca 0.250 0.250 0.000
Ca 0.349 0.759 0.848
Ca 0.411 0.259 0.410
Ca 0.453 0.724 0.177
Ca 0.547 0.276 0.823
Ca 0.589 0.741 0.590
Ca 0.651 0.241 0.152
Ca 0.750 0.750 0.000
Ca 0.849 0.001 0.590
Ca 0.911 0.501 0.152
Ca 0.953 0.776 0.729
Rh 0.250 0.750 0.500
Rh 0.750 0.250 0.500
N 0.075 0.888 0.579
N 0.149 0.892 0.042
N 0.191 0.612 0.187
N 0.309 0.496 0.421
N 0.351 0.392 0.743
N 0.425 0.004 0.813
N 0.575 0.996 0.187
N 0.649 0.608 0.257
N 0.691 0.504 0.579
N 0.809 0.388 0.813
N 0.851 0.108 0.958
N 0.925 0.112 0.421

Results
Formation energy without anion corrections = -0.742 eV/atom
V = 15.76 A^3/atom
Total energy = -6.044 eV/atom
ρ = 3.5 g/cm³
Total moment = 0.00 μB/f.u.

---

Q: Which of these has the highest V?
A: LaPb4